Entry 1:
A plane-wave DFT calculation with GGA-PBE was carried out for a geometry-optimized Si2BiIr2 structure.

## Properties
The formation energy (no corrections) is -49 kJ/mol of formula units. The value obtained for the total energy is -6.5922 eV/atom. Its energy above the lowest structure with this stoichiometry is 0.293 eV per atom. The space group is P4/mbm, No. 127.

Cell: 7.593 7.593 2.878 Å, 90.00 90.00 90.00°
Element x y z (fractional)
Si (0.141, 0.359, 0.000)
Si (0.359, 0.859, 0.000)
Si (0.641, 0.141, 0.000)
Si (0.859, 0.641, 0.000)
Bi (0.000, 0.000, 0.500)
Bi (0.500, 0.500, 0.500)
Ir (0.138, 0.638, 0.500)
Ir (0.362, 0.138, 0.500)
Ir (0.638, 0.862, 0.500)
Ir (0.862, 0.362, 0.500)



Entry 2:
A plane-wave DFT calculation with GGA-PBE was carried out for a geometry-optimized Li2NpCuSe4 structure.

## Properties
The formation energy (no corrections) is -663 kJ/mol of formula units. The value obtained for the total energy is -5.2097 eV/atom. The space group is P2/m, No. 10.

Cell: 6.393 4.017 6.835 Å, 90.00 107.72 90.00°
Element x y z (fractional)
Li (0.000, 0.000, 0.000)
Li (0.500, 0.500, 0.000)
Np (0.000, 0.500, 0.500)
Cu (0.500, 0.000, 0.500)
Se (0.254, 0.500, 0.250)
Se (0.265, 0.000, 0.743)
Se (0.735, 0.000, 0.257)
Se (0.746, 0.500, 0.750)



Entry 3:
A plane-wave DFT calculation with GGA-PBE was carried out for a geometry-optimized Tm2HfCo structure.

## Properties
The formation energy from the elements is 0.3404 eV/atom. The value obtained for the total energy is -6.1601 eV/atom. Its energy above the lowest structure with this stoichiometry is 0.351 eV per atom. The space group is R-3m, No. 166.

Cell: 10.275 10.275 10.275 Å, 18.24 18.24 18.24°
Element x y z (fractional)
Tm (0.105, 0.105, 0.105)
Tm (0.895, 0.895, 0.895)
Hf (0.000, 0.000, 0.000)
Co (0.500, 0.500, 0.500)



Entry 4:
A plane-wave DFT calculation with GGA-PBE was carried out for a geometry-optimized Ba6ZnIn2 structure.

## Properties
The formation energy from the elements is -0.1442 eV/atom. The value obtained for the total energy is -2.1761 eV/atom. Its energy above the lowest structure with this stoichiometry is 0.092 eV per atom. The space group is P-3m1, No. 164.

Cell: 5.997 5.997 14.397 Å, 90.00 90.00 120.00°
Element x y z (fractional)
Ba (0.000, 0.000, 0.243)
Ba (0.000, 0.000, 0.757)
Ba (0.333, 0.667, 0.412)
Ba (0.333, 0.667, 0.919)
Ba (0.667, 0.333, 0.081)
Ba (0.667, 0.333, 0.588)
Zn (0.000, 0.000, 0.000)
In (0.333, 0.667, 0.171)
In (0.667, 0.333, 0.829)



Entry 5:
A plane-wave DFT calculation with GGA-PBE was carried out for a geometry-optimized PrHo2Tl2Cd2 structure.

## Properties
The formation energy from the elements is -0.1748 eV/atom. The value obtained for the total energy is -3.1031 eV/atom. The space group is R-3m, No. 166.

Cell: 9.267 9.267 9.267 Å, 31.58 31.58 31.58°
Element x y z (fractional)
Pr (0.000, 0.000, 0.000)
Ho (0.134, 0.134, 0.134)
Ho (0.866, 0.866, 0.866)
Tl (0.267, 0.267, 0.267)
Tl (0.733, 0.733, 0.733)
Cd (0.434, 0.434, 0.434)
Cd (0.566, 0.566, 0.566)



Entry 6:
A plane-wave DFT calculation with GGA-PBE was carried out for a geometry-optimized Ga2RhW structure.

## Properties
The formation energy from the elements is 0.3259 eV/atom. The value obtained for the total energy is -6.2637 eV/atom. Its energy above the lowest structure with this stoichiometry is 0.270 eV per atom. The space group is I-42d, No. 122.

Cell: 5.589 5.589 5.589 Å, 103.93 103.93 121.23°
Element x y z (fractional)
Ga (0.108, 0.625, 0.983)
Ga (0.375, 0.358, 0.483)
Ga (0.642, 0.125, 0.017)
Ga (0.875, 0.892, 0.517)
Rh (0.000, 0.000, 0.000)
Rh (0.750, 0.250, 0.500)
W (0.250, 0.750, 0.500)
W (0.500, 0.500, 0.000)



Entry 7:
A plane-wave DFT calculation with GGA-PBE was carried out for a geometry-optimized CdSe2 structure.

## Properties
The formation energy (no corrections) is -98 kJ/mol of formula units. The value obtained for the total energy is -2.9682 eV/atom. The space group is Pa-3, No. 205.

Cell: 6.743 6.743 6.743 Å, 90.00 90.00 90.00°
Element x y z (fractional)
Cd (0.000, 0.000, 0.000)
Cd (0.000, 0.500, 0.500)
Cd (0.500, 0.000, 0.500)
Cd (0.500, 0.500, 0.000)
Se (0.103, 0.603, 0.897)
Se (0.103, 0.897, 0.397)
Se (0.397, 0.103, 0.897)
Se (0.397, 0.397, 0.397)
Se (0.603, 0.603, 0.603)
Se (0.603, 0.897, 0.103)
Se (0.897, 0.103, 0.603)
Se (0.897, 0.397, 0.103)



Entry 8:
A plane-wave DFT calculation with GGA-PBE was carried out for a geometry-optimized IrRuPt2Rh structure.

## Properties
The formation energy from the elements is 0.5437 eV/atom. The value obtained for the total energy is -6.9703 eV/atom. The space group is I4mm, No. 107.

Cell: 6.756 6.756 6.756 Å, 148.76 148.76 44.77°
Element x y z (fractional)
Ir (0.000, 0.000, 0.000)
Ru (0.426, 0.426, 0.000)
Pt (0.274, 0.774, 0.500)
Pt (0.774, 0.274, 0.500)
Rh (0.616, 0.616, 0.000)



Entry 9:
A plane-wave DFT calculation with GGA-PBE was carried out for a geometry-optimized NbNi2HPd structure.

## Properties
The value obtained for the total energy is -6.1366 eV/atom. Its energy above the lowest structure with this stoichiometry is 0.000 eV per atom. The space group is P4/mmm, No. 123.

Cell: 3.826 3.826 3.925 Å, 90.00 90.00 90.00°
Element x y z (fractional)
Nb (0.000, 0.000, 0.000)
Ni (0.000, 0.500, 0.500)
Ni (0.500, 0.000, 0.500)
H (0.000, 0.000, 0.500)
Pd (0.500, 0.500, 0.000)



Entry 10:
A plane-wave DFT calculation with GGA-PBE was carried out for a geometry-optimized ZnHF structure.

## Properties
The value obtained for the total energy is -3.1262 eV/atom. Its energy above the lowest structure with this stoichiometry is 0.122 eV per atom. The space group is Cm, No. 8.

Cell: 2.980 2.980 4.546 Å, 108.94 108.94 60.13°
Element x y z (fractional)
Zn (0.000, 0.000, 0.000)
H (0.277, 0.277, 0.831)
F (0.764, 0.764, 0.296)



Entry 11:
A plane-wave DFT calculation with GGA-PBE was carried out for a geometry-optimized TmNp2As3 structure.

## Properties
The formation energy from the elements is -0.9521 eV/atom. The value obtained for the total energy is -8.3357 eV/atom. The space group is Fddd, No. 70.

Cell: 13.565 12.934 7.087 Å, 79.48 69.62 30.91°
Element x y z (fractional)
Tm (0.042, 0.042, 0.208)
Tm (0.208, 0.208, 0.042)
Tm (0.792, 0.792, 0.958)
Tm (0.958, 0.958, 0.792)
Np (0.125, 0.125, 0.625)
Np (0.292, 0.292, 0.458)
Np (0.375, 0.375, 0.875)
Np (0.458, 0.458, 0.292)
Np (0.542, 0.542, 0.708)
Np (0.625, 0.625, 0.125)
Np (0.708, 0.708, 0.542)
Np (0.875, 0.875, 0.375)
As (0.042, 0.541, 0.207)
As (0.123, 0.627, 0.627)
As (0.207, 0.710, 0.042)
As (0.290, 0.793, 0.459)
As (0.373, 0.877, 0.877)
As (0.459, 0.958, 0.290)
As (0.541, 0.042, 0.710)
As (0.627, 0.123, 0.123)
As (0.710, 0.207, 0.541)
As (0.793, 0.290, 0.958)
As (0.877, 0.373, 0.373)
As (0.958, 0.459, 0.793)



Entry 12:
A plane-wave DFT calculation with GGA-PBE was carried out for a geometry-optimized La2Al structure.

## Properties
The formation energy from the elements is -0.2006 eV/atom. The value obtained for the total energy is -4.7331 eV/atom. The space group is I4/mmm, No. 139.

Cell: 7.618 7.618 7.618 Å, 152.71 152.71 38.97°
Element x y z (fractional)
La (0.143, 0.143, 0.000)
La (0.857, 0.857, 0.000)
Al (0.500, 0.500, 0.000)